# ErTlCoF6 PBE with a Hubbard U optimized geometry
data_ErTlCoF6
_cell_length_a 7.285
_cell_length_b 7.567
_cell_length_c 10.369
_cell_angle_alpha 90.00
_cell_angle_beta 90.00
_cell_angle_gamma 90.00
_symmetry_space_group_name_H-M 'I m m a'
_symmetry_Int_Tables_number 74
_symmetry_space_group_name_Hall '-I 2b 2'
loop_
_atom_site_label
_atom_site_type_symbol
_atom_site_fract_x
_atom_site_fract_y
_atom_site_fract_z
Er1 Er 0.000 0.000 0.000
Tl1 Tl 0.000 0.250 0.405
Co1 Co 0.250 0.250 0.750
F1 F 0.000 0.250 0.107
F2 F 0.000 0.250 0.847
F3 F 0.240 0.051 0.617
# * DOS(E_F): 0.000 states/eV/f.u.
# * final energy: -197.61 eV for the cell shown